Material: ZnTcAu2
Method: DFT, PBE
State: optimized geometry

## Properties
- Volume: 16.2 Å³ per atom
- Energy of formation from the pure elements: 0.21 eV/atom

POSCAR file:
```
ZnTcAu2
1.0
2.7381 0.0000 0.0000
0.0000 4.0913 0.0000
0.0000 0.0000 5.7914
Zn Tc Au
1 1 2
Direct
0.0000 0.0000 0.0000
0.0000 0.0000 0.5000
0.5000 0.5000 0.2499
0.5000 0.5000 0.7501
```